First-principles (GGA-PBE) data for a geometry-optimized Zn2TcSnOs structure, as listed in Alexandria.

```
Zn2TcSnOs
1.0
4.8228 0.0000 0.0000
0.0000 4.8228 0.0000
0.0000 0.0000 4.7119
Zn Tc Sn Os
2 1 1 1
Cartesian
0.0000 2.4114 0.0000 Zn
2.4114 0.0000 0.0000 Zn
0.0000 0.0000 0.0000 Tc
2.4114 2.4114 2.3559 Sn
0.0000 0.0000 2.3559 Os
```

Calculated values
density of states at the Fermi level	4.85	states/eV per cell
energy of formation	1.048	eV per atom
space group	P4/mmm, No. 123
E	-22.91	eV for the cell shown
calculated volume	21.92	A^3/atom

***

First-principles (GGA-PBE) data for a geometry-optimized NbBPd2 structure, as listed in Alexandria.

```
NbBPd2
1.0
-3.4859 3.4859 2.4093
3.4859 -3.4859 2.4093
3.4859 3.4859 -2.4093
Nb B Pd
2 2 4
Cartesian
0.0000 0.0000 0.0000 Nb
0.0000 3.4859 1.2047 Nb
3.4859 0.0000 1.2047 B
0.0000 0.0000 2.4093 B
1.7429 -1.0607 1.8070 Pd
2.4252 1.7429 0.6023 Pd
1.7429 4.5466 -0.6023 Pd
1.0607 1.7429 3.0117 Pd
```

Calculated values
density of states at the Fermi level	7.26	states/eV per cell
energy of formation	0.049	eV per atom
space group	I-42d, No. 122
E	-53.88	eV for the cell shown
calculated volume	14.64	A^3/atom

***

First-principles (GGA-PBE) data for a geometry-optimized Pr2Zn4CdIn3 structure, as listed in Alexandria.

```
Pr2Zn4CdIn3
1.0
4.4849 0.0000 0.0000
0.0000 4.4849 0.0000
0.0000 0.0000 11.3109
Pr Zn Cd In
2 4 1 3
Cartesian
0.0000 2.2424 2.7706 Pr
2.2424 0.0000 8.5403 Pr
0.0000 0.0000 0.0000 Zn
0.0000 2.2424 7.2229 Zn
2.2424 0.0000 4.0880 Zn
2.2424 2.2424 0.0000 Zn
0.0000 0.0000 5.6555 Cd
0.0000 2.2424 9.7992 In
2.2424 0.0000 1.5118 In
2.2424 2.2424 5.6555 In
```

Calculated values
density of states at the Fermi level	4.86	states/eV per cell
energy of formation	-0.320	eV per atom
space group	P-4m2, No. 115
E	-26.99	eV for the cell shown
calculated volume	22.75	A^3/atom

***

First-principles (GGA-PBE) data for a geometry-optimized SrHo2MgHg4 structure, as listed in Alexandria.

```
SrHo2MgHg4
1.0
2.5938 1.4975 8.9067
-2.5938 1.4975 8.9067
0.0000 -2.9951 8.9067
Sr Ho Mg Hg
1 2 1 4
Cartesian
0.0000 0.0000 0.0000 Sr
0.0000 0.0000 6.4773 Ho
0.0000 0.0000 20.2428 Ho
0.0000 0.0000 13.3601 Mg
0.0000 0.0000 3.3690 Hg
0.0000 0.0000 10.2932 Hg
0.0000 0.0000 16.4270 Hg
0.0000 0.0000 23.3512 Hg
```

Calculated values
density of states at the Fermi level	4.29	states/eV per cell
energy of formation	-0.421	eV per atom
space group	R-3m, No. 166
E	-17.01	eV for the cell shown
calculated volume	25.95	A^3/atom

***

First-principles (GGA-PBE) data for a geometry-optimized LaNd2In3 structure, as listed in Alexandria.

```
LaNd2In3
1.0
3.8957 0.0000 0.0000
0.0000 3.8957 0.0000
0.0000 0.0000 11.7452
La Nd In
1 2 3
Cartesian
0.0000 0.0000 0.0000 La
0.0000 0.0000 3.9485 Nd
0.0000 0.0000 7.7968 Nd
1.9479 1.9479 2.0364 In
1.9479 1.9479 5.8726 In
1.9479 1.9479 9.7089 In
```

Calculated values
density of states at the Fermi level	3.94	states/eV per cell
energy of formation	-0.503	eV per atom
space group	P4/mmm, No. 123
E	-25.69	eV for the cell shown
calculated volume	29.71	A^3/atom

***

First-principles (GGA-PBE) data for a geometry-optimized NbCoSb2Cl structure, as listed in Alexandria.

```
NbCoSb2Cl
1.0
5.3024 0.0000 0.0000
0.0000 5.3024 0.0000
0.0000 0.0000 4.4461
Nb Co Sb Cl
1 1 2 1
Cartesian
0.0000 0.0000 0.0000 Nb
2.6512 2.6512 0.0000 Co
0.0000 2.6512 2.2231 Sb
2.6512 0.0000 2.2231 Sb
0.0000 0.0000 2.2231 Cl
```

Calculated values
density of states at the Fermi level	6.91	states/eV per cell
space group	P4/mmm, No. 123
E	-20.70	eV for the cell shown
calculated volume	25.00	A^3/atom
formation energy without anion corrections	1.31	eV/atom

***

First-principles (GGA-PBE) data for a geometry-optimized BaCr2Co structure, as listed in Alexandria.

```
BaCr2Co
1.0
-2.1875 2.1875 4.3942
2.1875 -2.1875 4.3942
2.1875 2.1875 -4.3942
Ba Cr Co
1 2 1
Cartesian
0.0000 0.0000 0.0000 Ba
2.1875 0.0000 2.1971 Cr
0.0000 2.1875 2.1971 Cr
0.0000 0.0000 4.3942 Co
```

Calculated values
density of states at the Fermi level	4.94	states/eV per cell
energy of formation	1.244	eV per atom
space group	I4/mmm, No. 139
excess energy over the best structure of this formula in the dataset	695	meV/atom
E	-23.30	eV for the cell shown
calculated volume	21.03	A^3/atom

***

First-principles (GGA-PBE) data for a geometry-optimized EuErHgRh structure, as listed in Alexandria.

```
EuErHgRh
1.0
0.0000 3.6113 3.6113
3.6113 0.0000 3.6113
3.6113 3.6113 0.0000
Eu Er Hg Rh
1 1 1 1
Cartesian
0.0000 0.0000 0.0000 Eu
3.6113 3.6113 3.6113 Er
5.4169 5.4169 5.4169 Hg
1.8056 1.8056 1.8056 Rh
```

Calculated values
density of states at the Fermi level	8.42	states/eV per cell
energy of formation	-0.480	eV per atom
space group	F-43m, No. 216
E	-24.41	eV for the cell shown
calculated volume	23.55	A^3/atom

***

First-principles (GGA-PBE) data for a geometry-optimized PuPbSe2 structure, as listed in Alexandria.

```
PuPbSe2
1.0
2.0613 1.1901 7.6583
-2.0613 1.1901 7.6583
0.0000 -2.3802 7.6583
Pu Pb Se
1 1 2
Cartesian
0.0000 0.0000 0.0000 Pu
0.0000 0.0000 19.1428 Pb
0.0000 0.0000 5.8001 Se
0.0000 0.0000 9.4149 Se
```

Calculated values
density of states at the Fermi level	10.40	states/eV per cell
space group	R3m, No. 160
E	-28.66	eV for the cell shown
calculated volume	28.18	A^3/atom
formation energy without anion corrections	-0.91	eV/atom

***

First-principles (GGA-PBE) data for a geometry-optimized LaZr2Pb2 structure, as listed in Alexandria.

```
LaZr2Pb2
1.0
8.4018 0.0000 0.0000
0.0000 8.4018 0.0000
0.0000 0.0000 3.7932
La Zr Pb
2 4 4
Cartesian
0.0000 0.0000 0.0000 La
4.2009 4.2009 0.0000 La
1.3559 2.8450 1.8966 Zr
2.8450 7.0459 1.8966 Zr
5.5568 1.3559 1.8966 Zr
7.0459 5.5568 1.8966 Zr
1.1357 5.3366 0.0000 Pb
3.0652 1.1357 0.0000 Pb
5.3366 7.2662 0.0000 Pb
7.2662 3.0652 0.0000 Pb
```

Calculated values
density of states at the Fermi level	7.16	states/eV per cell
energy of formation	-0.187	eV per atom
space group	P4/mbm, No. 127
excess energy over the best structure of this formula in the dataset	85	meV/atom
E	-60.75	eV for the cell shown
calculated volume	26.78	A^3/atom

***

First-principles (GGA-PBE) data for a geometry-optimized IrAuCl structure, as listed in Alexandria.

```
IrAuCl
1.0
0.0000 2.6393 6.9992
1.4283 0.0000 6.9992
1.4283 2.6393 0.0000
Ir Au Cl
1 1 1
Cartesian
0.0000 0.0000 0.0000 Ir
1.4283 2.6393 4.6639 Au
1.4283 2.6393 8.9473 Cl
```

Calculated values
density of states at the Fermi level	2.02	states/eV per cell
space group	Fmm2, No. 42
excess energy over the best structure of this formula in the dataset	0	meV/atom
E	-12.42	eV for the cell shown
calculated volume	17.59	A^3/atom
formation energy without anion corrections	0.52	eV/atom

***

First-principles (GGA-PBE) data for a geometry-optimized PmNiSbOs structure, as listed in Alexandria.

```
PmNiSbOs
1.0
0.0000 3.3423 3.3423
3.3423 0.0000 3.3423
3.3423 3.3423 0.0000
Pm Ni Sb Os
1 1 1 1
Cartesian
0.0000 0.0000 0.0000 Pm
1.6711 1.6711 1.6711 Ni
3.3423 3.3423 3.3423 Sb
5.0134 5.0134 5.0134 Os
```

Calculated values
density of states at the Fermi level	4.26	states/eV per cell
space group	F-43m, No. 216
E	-25.84	eV for the cell shown
calculated volume	18.67	A^3/atom
formation energy without anion corrections	0.01	eV/atom

***

| no. | total magnetization (μB per atom) |
| --- | --- |
| 1 | 0.15 |
| 2 | 0.00 |
| 3 | 0.00 |
| 4 | 0.00 |
| 5 | 0.00 |
| 6 | 0.33 |
| 7 | 2.43 |
| 8 | 1.74 |
| 9 | 1.50 |
| 10 | 0.00 |
| 11 | 0.00 |
| 12 | 0.00 |